The following is a DFT calculation (PBE) of a relaxed UCo2NiP2 crystal.

Summary:
Its crystal system is trigonal. The value obtained for the formation energy is -3.85 eV/f.u.

Geometry as extended XYZ:
```
6
Lattice="-3.317 -1.495 1.289 3.304 -1.936 0.478 0.863 2.830 5.501" Properties=species:S:1:pos:R:3 pbc="T T T"
Co -0.821 -0.694 2.862
Co 1.671 0.092 4.406
P 1.343 -0.982 2.317
P -0.493 0.381 4.951
Ni 0.431 1.415 2.751
U 0.000 0.000 0.000
```

---

The following is a DFT calculation (PBE) of a relaxed Y2CoNi4P3 crystal.

Summary:
Its crystal system is tetragonal. The value obtained for the formation energy is -8.44 eV/f.u.

Geometry as extended XYZ:
```
10
Lattice="3.900 0.000 0.000 0.000 3.900 0.000 0.000 0.000 9.385" Properties=species:S:1:pos:R:3 pbc="T T T"
P 1.950 0.000 8.142
P 0.000 0.000 4.692
P 0.000 1.950 1.243
Ni 1.950 1.950 0.000
Ni 1.950 0.000 5.897
Ni 0.000 1.950 3.487
Ni 0.000 0.000 0.000
Y 0.000 1.950 7.062
Y 1.950 0.000 2.323
Co 1.950 1.950 4.692
```

---

The following is a DFT calculation (PBE) of a relaxed Y2CoNi12P3 crystal.

Summary:
Its crystal system is trigonal. The value obtained for the formation energy is -1.33 eV/f.u.

Geometry as extended XYZ:
```
18
Lattice="-4.965 1.296 -3.541 -1.065 -5.937 -1.577 -4.145 -1.000 4.549" Properties=species:S:1:pos:R:3 pbc="T T T"
Co 0.000 0.000 0.000
Ni -3.989 -1.542 2.242
Ni -4.176 -2.945 -2.552
Ni -3.779 -4.058 1.371
Ni -4.506 -5.091 -0.988
Ni -5.999 -2.697 1.983
Ni -6.187 -4.100 -2.812
Ni -2.400 -4.088 -0.917
Ni -5.670 -0.551 0.419
Ni -6.397 -1.583 -1.940
Ni -7.775 -1.553 0.348
Ni -5.764 -5.284 1.361
Ni -4.412 -0.358 -1.930
P -2.073 -0.500 2.274
P -0.533 -2.969 -0.789
P -2.483 0.648 -1.770
Y -7.050 -3.909 -0.394
Y -3.126 -1.733 -0.175
```

---

The following is a DFT calculation (PBE) of a relaxed ZrCoNiP2 crystal.

Summary:
Its crystal system is tetragonal. The value obtained for the formation energy is 1.64 eV/f.u.

Geometry as extended XYZ:
```
5
Lattice="-0.785 -3.343 2.398 4.558 -1.400 -0.459 1.021 2.206 3.410" Properties=species:S:1:pos:R:3 pbc="T T T"
Ni 2.397 -1.268 2.674
Zr 2.279 -0.700 -0.230
P -0.393 -1.671 1.199
P 0.511 1.103 1.705
Co 0.000 0.000 0.000
```